First-principles (PBEsol) data for crystalline K2ZrBe at its relaxed geometry, as listed in the Alexandria database.

Cell lengths 4.1672, 4.1672, 12.1908 Å; angles 90.00, 90.00, 90.00 degrees
Space group I4/mmm (No. 139)
Asymmetric unit:
1 K 0.0000 0.5000 0.2500 (multiplicity 4)
2 Zr 0.0000 0.0000 0.0000 (multiplicity 2)
3 Be 0.0000 0.0000 0.5000 (multiplicity 2)

The crystal system is tetragonal. The energy of formation is 109 kJ per mole of atoms. The calculation puts the spin magnetization at 0.44 μB per atom. As for the density: 2.80 Mg/m³.